MgB after structural relaxation, computed with PBE.

POSCAR file:
```
MgB
1.0
5.474 0.000 0.000
0.000 5.839 0.000
0.000 0.000 3.768
Mg B
4 4
Cartesian
0.000 4.400 1.884 Mg
2.737 4.359 0.000 Mg
2.737 1.480 0.000 Mg
0.000 1.439 1.884 Mg
4.712 2.920 0.000 B
3.499 0.000 1.884 B
1.975 0.000 1.884 B
0.762 2.920 0.000 B
```

Summary:
E_form ... 21.9 kJ/mol of atoms
E_tot ... -3.910 eV per atom
Space group ... No. 71
ρ ... 1.9 g/cm³
Energy above the most stable polymorph in this dataset ... 0.641 eV/f.u.